1.
# TlCo2Ir (PBE, optimized geometry)
data_TlCo2Ir
_chemical_formula_sum 'Tl2 Co4 Ir2'
_cell_length_a 4.081
_cell_length_b 4.081
_cell_length_c 7.019
_cell_angle_alpha 90.00
_cell_angle_beta 90.00
_cell_angle_gamma 90.00
_symmetry_space_group_name_H-M 'I 4/m m m'
_symmetry_Int_Tables_number 139
_symmetry_space_group_name_Hall '-I 4 2'
loop_
_atom_site_label
_atom_site_type_symbol
_atom_site_fract_x
_atom_site_fract_y
_atom_site_fract_z
Tl1 Tl 0.000 0.000 0.000
Co1 Co 0.000 0.500 0.250
Ir1 Ir 0.000 0.000 0.500
# * energy of formation: 0.485 eV/atom
# * distance to the lowest polymorph of the same formula: 0.070 eV per atom

2.
# TlCoIr2 (PBE, optimized geometry)
data_TlCoIr2
_chemical_formula_sum 'Tl4 Co4 Ir8'
_cell_length_a 6.322
_cell_length_b 6.322
_cell_length_c 6.322
_cell_angle_alpha 90.00
_cell_angle_beta 90.00
_cell_angle_gamma 90.00
_symmetry_space_group_name_H-M 'F m -3 m'
_symmetry_Int_Tables_number 225
_symmetry_space_group_name_Hall '-F 4 2 3'
loop_
_atom_site_label
_atom_site_type_symbol
_atom_site_fract_x
_atom_site_fract_y
_atom_site_fract_z
Tl1 Tl 0.000 0.000 0.000
Co1 Co 0.000 0.000 0.500
Ir1 Ir 0.250 0.250 0.250
# * energy of formation: 0.572 eV/atom
# * distance to the lowest polymorph of the same formula: 0.156 eV per atom

3.
# TlCoIr2 (PBE, optimized geometry)
data_TlCoIr2
_chemical_formula_sum 'Tl1 Co1 Ir2'
_cell_length_a 2.848
_cell_length_b 2.848
_cell_length_c 7.696
_cell_angle_alpha 90.00
_cell_angle_beta 90.00
_cell_angle_gamma 90.00
_symmetry_space_group_name_H-M 'P 4 m m'
_symmetry_Int_Tables_number 99
loop_
_symmetry_equiv_pos_as_xyz
'x,y,z'
'-y,x,z'
'-x,-y,z'
'y,-x,z'
'-x,y,z'
'y,x,z'
'x,-y,z'
'-y,-x,z'
loop_
_atom_site_label
_atom_site_type_symbol
_atom_site_fract_x
_atom_site_fract_y
_atom_site_fract_z
Tl1 Tl 0.000 0.000 0.000
Co1 Co 0.500 0.500 0.263
Ir1 Ir 0.000 0.000 0.472
Ir2 Ir 0.500 0.500 0.708
# * energy of formation: 0.415 eV/atom
# * distance to the lowest polymorph of the same formula: 0.000 eV per atom

4.
# TlCoIr2 (PBE, optimized geometry)
data_TlCoIr2
_chemical_formula_sum 'Tl3 Co3 Ir6'
_cell_length_a 2.8945
_cell_length_b 2.8945
_cell_length_c 26.3479
_cell_angle_alpha 90.00
_cell_angle_beta 90.00
_cell_angle_gamma 120.00
_symmetry_space_group_name_H-M 'R -3 m'
_symmetry_Int_Tables_number 166
_symmetry_space_group_name_Hall '-R 3 2"'
loop_
_atom_site_label
_atom_site_type_symbol
_atom_site_fract_x
_atom_site_fract_y
_atom_site_fract_z
Tl1 Tl 0.0000 0.0000 0.0000
Co1 Co 0.0000 0.0000 0.5000
Ir1 Ir 0.0000 0.0000 0.2402
# * energy of formation: 0.526 eV/atom
# * distance to the lowest polymorph of the same formula: 0.111 eV per atom

5.
# TlCoIr2 (PBE, optimized geometry)
data_TlCoIr2
_chemical_formula_sum 'Tl2 Co2 Ir4'
_cell_length_a 2.819
_cell_length_b 4.670
_cell_length_c 9.516
_cell_angle_alpha 90.00
_cell_angle_beta 90.00
_cell_angle_gamma 90.00
_symmetry_space_group_name_H-M 'I m m m'
_symmetry_Int_Tables_number 71
_symmetry_space_group_name_Hall '-I 2 2'
loop_
_atom_site_label
_atom_site_type_symbol
_atom_site_fract_x
_atom_site_fract_y
_atom_site_fract_z
Tl1 Tl 0.000 0.000 0.000
Co1 Co 0.000 0.000 0.500
Ir1 Ir 0.000 0.500 0.227
# * energy of formation: 0.479 eV/atom
# * distance to the lowest polymorph of the same formula: 0.063 eV per atom

6.
# TlCo2Ir (PBE, optimized geometry)
data_TlCo2Ir
_chemical_formula_sum 'Tl2 Co4 Ir2'
_cell_length_a 4.076
_cell_length_b 2.865
_cell_length_c 10.207
_cell_angle_alpha 90.00
_cell_angle_beta 90.00
_cell_angle_gamma 90.00
_symmetry_space_group_name_H-M 'A m m 2'
_symmetry_Int_Tables_number 38
loop_
_symmetry_equiv_pos_as_xyz
'x,y,z'
'-x,-y,z'
'-x,y,z'
'x,-y,z'
'x,y+1/2,z+1/2'
'-x,-y+1/2,z+1/2'
'-x,y+1/2,z+1/2'
'x,-y+1/2,z+1/2'
loop_
_atom_site_label
_atom_site_type_symbol
_atom_site_fract_x
_atom_site_fract_y
_atom_site_fract_z
Tl1 Tl 0.000 0.000 0.000
Co1 Co 0.000 0.000 0.740
Co2 Co 0.500 0.000 0.621
Ir1 Ir 0.500 0.000 0.336
# * energy of formation: 0.448 eV/atom
# * distance to the lowest polymorph of the same formula: 0.034 eV per atom

7.
# TlCo2Ir (PBE, optimized geometry)
data_TlCo2Ir
_chemical_formula_sum 'Tl2 Co4 Ir2'
_cell_length_a 5.761
_cell_length_b 7.003
_cell_length_c 2.883
_cell_angle_alpha 90.00
_cell_angle_beta 90.00
_cell_angle_gamma 90.00
_symmetry_space_group_name_H-M 'C m m m'
_symmetry_Int_Tables_number 65
_symmetry_space_group_name_Hall '-C 2 2'
loop_
_atom_site_label
_atom_site_type_symbol
_atom_site_fract_x
_atom_site_fract_y
_atom_site_fract_z
Tl1 Tl 0.000 0.000 0.000
Co1 Co 0.250 0.250 0.500
Ir1 Ir 0.000 0.500 0.000
# * energy of formation: 0.495 eV/atom
# * distance to the lowest polymorph of the same formula: 0.080 eV per atom

8.
# TlCo2Ir (PBE, optimized geometry)
data_TlCo2Ir
_chemical_formula_sum 'Tl2 Co4 Ir2'
_cell_length_a 3.072
_cell_length_b 4.509
_cell_length_c 8.746
_cell_angle_alpha 90.00
_cell_angle_beta 90.00
_cell_angle_gamma 90.00
_symmetry_space_group_name_H-M 'I m m m'
_symmetry_Int_Tables_number 71
_symmetry_space_group_name_Hall '-I 2 2'
loop_
_atom_site_label
_atom_site_type_symbol
_atom_site_fract_x
_atom_site_fract_y
_atom_site_fract_z
Tl1 Tl 0.000 0.000 0.000
Co1 Co 0.000 0.500 0.244
Ir1 Ir 0.000 0.000 0.500
# * energy of formation: 0.580 eV/atom
# * distance to the lowest polymorph of the same formula: 0.165 eV per atom

9.
# TlCo2Ir (PBE, optimized geometry)
data_TlCo2Ir
_chemical_formula_sum 'Tl2 Co4 Ir2'
_cell_length_a 3.866
_cell_length_b 3.866
_cell_length_c 7.881
_cell_angle_alpha 90.00
_cell_angle_beta 90.00
_cell_angle_gamma 90.00
_symmetry_space_group_name_H-M 'I -4 m 2'
_symmetry_Int_Tables_number 119
_symmetry_space_group_name_Hall 'I -4 -2'
loop_
_atom_site_label
_atom_site_type_symbol
_atom_site_fract_x
_atom_site_fract_y
_atom_site_fract_z
Tl1 Tl 0.000 0.000 0.000
Co1 Co 0.000 0.000 0.500
Co2 Co 0.000 0.500 0.750
Ir1 Ir 0.000 0.500 0.250
# * energy of formation: 0.462 eV/atom
# * distance to the lowest polymorph of the same formula: 0.047 eV per atom

10.
# TlCo2Ir (PBE, optimized geometry)
data_TlCo2Ir
_chemical_formula_sum 'Tl4 Co8 Ir4'
_cell_length_a 6.166
_cell_length_b 6.166
_cell_length_c 6.166
_cell_angle_alpha 90.00
_cell_angle_beta 90.00
_cell_angle_gamma 90.00
_symmetry_space_group_name_H-M 'F m -3 m'
_symmetry_Int_Tables_number 225
_symmetry_space_group_name_Hall '-F 4 2 3'
loop_
_atom_site_label
_atom_site_type_symbol
_atom_site_fract_x
_atom_site_fract_y
_atom_site_fract_z
Tl1 Tl 0.000 0.000 0.000
Co1 Co 0.250 0.250 0.250
Ir1 Ir 0.000 0.000 0.500
# * energy of formation: 0.487 eV/atom
# * distance to the lowest polymorph of the same formula: 0.072 eV per atom

11.
# TlCoIr2 (PBE, optimized geometry)
data_TlCoIr2
_chemical_formula_sum 'Tl2 Co2 Ir4'
_cell_length_a 9.135
_cell_length_b 2.862
_cell_length_c 4.863
_cell_angle_alpha 90.00
_cell_angle_beta 100.86
_cell_angle_gamma 90.00
_symmetry_space_group_name_H-M 'C 1 2/m 1'
_symmetry_Int_Tables_number 12
loop_
_symmetry_equiv_pos_as_xyz
'x,y,z'
'-x,-y,-z'
'-x,y,-z'
'x,-y,z'
'x+1/2,y+1/2,z'
'-x+1/2,-y+1/2,-z'
'-x+1/2,y+1/2,-z'
'x+1/2,-y+1/2,z'
loop_
_atom_site_label
_atom_site_type_symbol
_atom_site_fract_x
_atom_site_fract_y
_atom_site_fract_z
Tl1 Tl 0.000 0.000 0.000
Co1 Co 0.000 0.500 0.500
Ir1 Ir 0.239 0.000 0.724
# * energy of formation: 0.417 eV/atom
# * distance to the lowest polymorph of the same formula: 0.002 eV per atom

12.
# TlCoIr3 (PBE, optimized geometry)
data_TlCoIr3
_chemical_formula_sum 'Tl1 Co1 Ir3'
_cell_length_a 4.535
_cell_length_b 4.535
_cell_length_c 4.535
_cell_angle_alpha 90.00
_cell_angle_beta 90.00
_cell_angle_gamma 90.00
_symmetry_space_group_name_H-M 'P m -3 m'
_symmetry_Int_Tables_number 221
_symmetry_space_group_name_Hall '-P 4 2 3'
loop_
_atom_site_label
_atom_site_type_symbol
_atom_site_fract_x
_atom_site_fract_y
_atom_site_fract_z
Tl1 Tl 0.000 0.000 0.000
Co1 Co 0.500 0.500 0.500
Ir1 Ir 0.000 0.500 0.500
# * energy of formation: 1.273 eV/atom
# * distance to the lowest polymorph of the same formula: 0.000 eV per atom

13.
# TlCo2Ir (PBE, optimized geometry)
data_TlCo2Ir
_chemical_formula_sum 'Tl2 Co4 Ir2'
_cell_length_a 8.732
_cell_length_b 2.907
_cell_length_c 4.937
_cell_angle_alpha 90.00
_cell_angle_beta 101.25
_cell_angle_gamma 90.00
_symmetry_space_group_name_H-M 'C 1 2/m 1'
_symmetry_Int_Tables_number 12
loop_
_symmetry_equiv_pos_as_xyz
'x,y,z'
'-x,-y,-z'
'-x,y,-z'
'x,-y,z'
'x+1/2,y+1/2,z'
'-x+1/2,-y+1/2,-z'
'-x+1/2,y+1/2,-z'
'x+1/2,-y+1/2,z'
loop_
_atom_site_label
_atom_site_type_symbol
_atom_site_fract_x
_atom_site_fract_y
_atom_site_fract_z
Tl1 Tl 0.000 0.000 0.000
Co1 Co 0.239 0.000 0.693
Ir1 Ir 0.000 0.500 0.500
# * energy of formation: 0.473 eV/atom
# * distance to the lowest polymorph of the same formula: 0.059 eV per atom

14.
# TlCo2Ir (PBE, optimized geometry)
data_TlCo2Ir
_chemical_formula_sum 'Tl3 Co6 Ir3'
_cell_length_a 2.8607
_cell_length_b 2.8607
_cell_length_c 25.7754
_cell_angle_alpha 90.00
_cell_angle_beta 90.00
_cell_angle_gamma 120.00
_symmetry_space_group_name_H-M 'R -3 m'
_symmetry_Int_Tables_number 166
_symmetry_space_group_name_Hall '-R 3 2"'
loop_
_atom_site_label
_atom_site_type_symbol
_atom_site_fract_x
_atom_site_fract_y
_atom_site_fract_z
Tl1 Tl 0.0000 0.0000 0.0000
Co1 Co 0.0000 0.0000 0.2439
Ir1 Ir 0.0000 0.0000 0.5000
# * energy of formation: 0.566 eV/atom
# * distance to the lowest polymorph of the same formula: 0.152 eV per atom

15.
# TlCoIr2 (PBE, optimized geometry)
data_TlCoIr2
_chemical_formula_sum 'Tl2 Co2 Ir4'
_cell_length_a 3.976
_cell_length_b 3.976
_cell_length_c 7.901
_cell_angle_alpha 90.00
_cell_angle_beta 90.00
_cell_angle_gamma 90.00
_symmetry_space_group_name_H-M 'I 4/m m m'
_symmetry_Int_Tables_number 139
_symmetry_space_group_name_Hall '-I 4 2'
loop_
_atom_site_label
_atom_site_type_symbol
_atom_site_fract_x
_atom_site_fract_y
_atom_site_fract_z
Tl1 Tl 0.000 0.000 0.000
Co1 Co 0.000 0.000 0.500
Ir1 Ir 0.000 0.500 0.250
# * energy of formation: 0.491 eV/atom
# * distance to the lowest polymorph of the same formula: 0.075 eV per atom

16.
# TlCoIr2 (PBE, optimized geometry)
data_TlCoIr2
_chemical_formula_sum 'Tl2 Co2 Ir4'
_cell_length_a 8.882
_cell_length_b 2.868
_cell_length_c 5.076
_cell_angle_alpha 90.00
_cell_angle_beta 100.38
_cell_angle_gamma 90.00
_symmetry_space_group_name_H-M 'C 1 m 1'
_symmetry_Int_Tables_number 8
loop_
_symmetry_equiv_pos_as_xyz
'x,y,z'
'x,-y,z'
'x+1/2,y+1/2,z'
'x+1/2,-y+1/2,z'
loop_
_atom_site_label
_atom_site_type_symbol
_atom_site_fract_x
_atom_site_fract_y
_atom_site_fract_z
Tl1 Tl 0.000 0.000 0.000
Co1 Co 0.246 0.000 0.727
Ir1 Ir 0.005 0.500 0.513
Ir2 Ir 0.260 0.500 0.310
# * energy of formation: 0.458 eV/atom
# * distance to the lowest polymorph of the same formula: 0.042 eV per atom

17.
# TlCoIr2 (PBE, optimized geometry)
data_TlCoIr2
_chemical_formula_sum 'Tl1 Co1 Ir2'
_cell_length_a 2.809
_cell_length_b 3.710
_cell_length_c 6.079
_cell_angle_alpha 90.00
_cell_angle_beta 90.12
_cell_angle_gamma 90.00
_symmetry_space_group_name_H-M 'P 1 m 1'
_symmetry_Int_Tables_number 6
loop_
_symmetry_equiv_pos_as_xyz
'x,y,z'
'x,-y,z'
loop_
_atom_site_label
_atom_site_type_symbol
_atom_site_fract_x
_atom_site_fract_y
_atom_site_fract_z
Tl1 Tl 0.000 0.000 0.000
Co1 Co 0.501 0.500 0.280
Ir1 Ir 0.001 0.000 0.474
Ir2 Ir 0.501 0.500 0.702
# * energy of formation: 0.422 eV/atom
# * distance to the lowest polymorph of the same formula: 0.006 eV per atom

18.
# TlCo2Ir (PBE, optimized geometry)
data_TlCo2Ir
_chemical_formula_sum 'Tl2 Co4 Ir2'
_cell_length_a 2.989
_cell_length_b 4.439
_cell_length_c 8.879
_cell_angle_alpha 90.00
_cell_angle_beta 90.00
_cell_angle_gamma 90.00
_symmetry_space_group_name_H-M 'I m m 2'
_symmetry_Int_Tables_number 44
loop_
_symmetry_equiv_pos_as_xyz
'x,y,z'
'-x,-y,z'
'-x,y,z'
'x,-y,z'
'x+1/2,y+1/2,z+1/2'
'-x+1/2,-y+1/2,z+1/2'
'-x+1/2,y+1/2,z+1/2'
'x+1/2,-y+1/2,z+1/2'
loop_
_atom_site_label
_atom_site_type_symbol
_atom_site_fract_x
_atom_site_fract_y
_atom_site_fract_z
Tl1 Tl 0.000 0.000 0.000
Co1 Co 0.000 0.000 0.474
Co2 Co 0.000 0.500 0.762
Ir1 Ir 0.000 0.500 0.223
# * energy of formation: 0.482 eV/atom
# * distance to the lowest polymorph of the same formula: 0.067 eV per atom

19.
# Tl3CoIr (PBE, optimized geometry)
data_Tl3CoIr
_chemical_formula_sum 'Tl3 Co1 Ir1'
_cell_length_a 5.281
_cell_length_b 5.281
_cell_length_c 5.281
_cell_angle_alpha 90.00
_cell_angle_beta 90.00
_cell_angle_gamma 90.00
_symmetry_space_group_name_H-M 'P m -3 m'
_symmetry_Int_Tables_number 221
_symmetry_space_group_name_Hall '-P 4 2 3'
loop_
_atom_site_label
_atom_site_type_symbol
_atom_site_fract_x
_atom_site_fract_y
_atom_site_fract_z
Tl1 Tl 0.000 0.000 0.500
Co1 Co 0.500 0.500 0.500
Ir1 Ir 0.000 0.000 0.000
# * energy of formation: 0.826 eV/atom

20.
# TlCo2Ir (PBE, optimized geometry)
data_TlCo2Ir
_chemical_formula_sum 'Tl4 Co8 Ir4'
_cell_length_a 6.206
_cell_length_b 6.206
_cell_length_c 6.206
_cell_angle_alpha 90.00
_cell_angle_beta 90.00
_cell_angle_gamma 90.00
_symmetry_space_group_name_H-M 'F -4 3 m'
_symmetry_Int_Tables_number 216
_symmetry_space_group_name_Hall 'F -4 2 3'
loop_
_atom_site_label
_atom_site_type_symbol
_atom_site_fract_x
_atom_site_fract_y
_atom_site_fract_z
Tl1 Tl 0.000 0.000 0.000
Co1 Co 0.000 0.000 0.500
Co2 Co 0.250 0.250 0.250
Ir1 Ir 0.250 0.250 0.750
# * energy of formation: 0.527 eV/atom
# * distance to the lowest polymorph of the same formula: 0.112 eV per atom

| no. | DOS at the Fermi energy (states/eV/cell) |
| --- | --- |
| 1 | 14.12 |
| 2 | 26.70 |
| 3 | 3.91 |
| 4 | 18.52 |
| 5 | 11.53 |
| 6 | 8.84 |
| 7 | 14.82 |
| 8 | 9.79 |
| 9 | 14.05 |
| 10 | 18.97 |
| 11 | 9.80 |
| 12 | 4.13 |
| 13 | 11.37 |
| 14 | 15.79 |
| 15 | 14.27 |
| 16 | 8.75 |
| 17 | 4.53 |
| 18 | 11.99 |
| 19 | 8.32 |
| 20 | 23.67 |